Record 1
# CsTlRhAu2

An optimized crystal structure of CsTlRhAu2 (PBE-GGA, Alexandria).

Output
total magnetic moment = 0.00 μB per cell
D(E_F) = 0.7058 states/eV per atom
ΔH_f (0 K) = 0.3 eV per formula unit
symmetry = No. 123

a = 5.358 Å, b = 5.358 Å, c = 5.203 Å
α = 90.00°, β = 90.00°, γ = 90.00°
Positions (direct):
1 Au 0.000 0.500 0.000
2 Au 0.500 0.000 0.000
3 Cs 0.500 0.500 0.500
4 Rh 0.000 0.000 0.000
5 Tl 0.000 0.000 0.500


Record 2
# CsTl2RhAu

An optimized crystal structure of CsTl2RhAu (PBE-GGA, Alexandria).

Output
total magnetic moment = 0.00 μB per cell
D(E_F) = 0.4311 states/eV per atom
ΔH_f (0 K) = -0.3 eV per formula unit
symmetry = No. 123

a = 5.295 Å, b = 5.295 Å, c = 5.564 Å
α = 90.00°, β = 90.00°, γ = 90.00°
Positions (direct):
1 Tl 0.000 0.500 0.000
2 Tl 0.500 0.000 0.000
3 Rh 0.000 0.000 0.000
4 Au 0.000 0.000 0.500
5 Cs 0.500 0.500 0.500


Record 3
# Cs2ZrRhAu

An optimized crystal structure of Cs2ZrRhAu (PBE-GGA, Alexandria).

Output
total magnetic moment = 1.14 μB per cell
D(E_F) = 1.1018 states/eV per atom
ΔH_f (0 K) = 3.7 eV per formula unit
symmetry = No. 123

a = 7.149 Å, b = 4.722 Å, c = 7.149 Å
α = 90.00°, β = 90.00°, γ = 90.00°
Each line ends with the local moment (μB).
Positions (direct):
1 Rh 0.000 0.500 0.000  -0.11
2 Au 0.500 0.500 0.500  0.01
3 Cs 0.000 0.000 0.500  0.02
4 Zr 0.000 0.000 0.000  0.60
5 Cs 0.500 0.000 0.000  0.02


Record 4
# CsRuAu3

An optimized crystal structure of CsRuAu3 (PBE-GGA, Alexandria).

Output
total magnetic moment = 3.47 μB per cell
D(E_F) = 4.0672 states/eV per atom
ΔH_f (0 K) = 10.6 eV per formula unit
symmetry = No. 221

a = 5.935 Å, b = 5.935 Å, c = 5.935 Å
α = 90.00°, β = 90.00°, γ = 90.00°
Each line ends with the local moment (μB).
Positions (direct):
1 Au 0.500 0.000 0.000  -0.03
2 Au 0.000 0.500 0.000  0.04
3 Cs 0.000 0.000 0.000  0.00
4 Ru 0.500 0.500 0.500  2.84
5 Au 0.000 0.000 0.500  0.10


Record 5
# CsRu2Au

An optimized crystal structure of CsRu2Au (PBE-GGA, Alexandria).

Output
total magnetic moment = 3.65 μB per cell
D(E_F) = 1.1029 states/eV per atom
ΔH_f (0 K) = 6.2 eV per formula unit
symmetry = No. 225

a = 4.836 Å, b = 4.836 Å, c = 4.836 Å
α = 60.00°, β = 60.00°, γ = 60.00°
Each line ends with the local moment (μB).
Positions (direct):
1 Ru 0.250 0.250 0.250  1.70
2 Ru 0.750 0.750 0.750  1.70
3 Au 0.500 0.500 0.500  0.12
4 Cs 0.000 0.000 0.000  0.06


Record 6
# Cs2TeRuAu

An optimized crystal structure of Cs2TeRuAu (PBE-GGA, Alexandria).

Output
E_tot = -14.53 eV per cell
total magnetic moment = 2.38 μB per cell
D(E_F) = 1.2385 states/eV per atom
symmetry = No. 123

a = 6.069 Å, b = 4.995 Å, c = 6.069 Å
α = 90.00°, β = 90.00°, γ = 90.00°
Each line ends with the local moment (μB).
Positions (direct):
1 Cs 0.000 0.000 0.500  0.01
2 Ru 0.000 0.000 0.000  1.34
3 Cs 0.500 0.000 0.000  0.01
4 Te 0.500 0.500 0.500  0.36
5 Au 0.000 0.500 0.000  0.23


Record 7
# CsRuW2Au

An optimized crystal structure of CsRuW2Au (PBE-GGA, Alexandria).

Output
total magnetic moment = 4.23 μB per cell
D(E_F) = 1.7270 states/eV per atom
ΔH_f (0 K) = 13.0 eV per formula unit
symmetry = No. 123

a = 4.976 Å, b = 5.207 Å, c = 4.976 Å
α = 90.00°, β = 90.00°, γ = 90.00°
Each line ends with the local moment (μB).
Positions (direct):
1 Ru 0.000 0.500 0.000  0.59
2 Cs 0.500 0.500 0.500  0.07
3 W 0.500 0.000 0.000  1.33
4 W 0.000 0.000 0.500  1.35
5 Au 0.000 0.000 0.000  0.07


Record 8
# Cs2AuS2

An optimized crystal structure of Cs2AuS2 (PBE-GGA, Alexandria).

Output
E_tot = -30.57 eV per cell
total magnetic moment = 0.00 μB per cell
D(E_F) = 0.4155 states/eV per atom
symmetry = No. 127

a = 7.328 Å, b = 7.328 Å, c = 5.577 Å
α = 90.00°, β = 90.00°, γ = 90.00°
Positions (direct):
1 Au 0.500 0.500 0.000
2 S 0.332 0.832 0.000
3 Au 0.000 0.000 0.000
4 Cs 0.836 0.336 0.500
5 S 0.668 0.168 0.000
6 Cs 0.164 0.664 0.500
7 Cs 0.664 0.836 0.500
8 S 0.168 0.332 0.000
9 Cs 0.336 0.164 0.500
10 S 0.832 0.668 0.000